# 1
First-principles (GGA-PBE) data for a relaxed Si4PIr crystal, as listed in the Alexandria database.

a = 5.007 Å, b = 5.007 Å, c = 5.007 Å
α = 60.00°, β = 60.00°, γ = 60.00°
Positions (direct):
1 Si 0.877 0.374 0.374
2 Si 0.374 0.374 0.877
3 Si 0.374 0.877 0.374
4 Si 0.374 0.374 0.374
5 P 0.000 0.000 0.000
6 Ir 0.750 0.750 0.750

=====

# 2
First-principles (GGA-PBE) data for a relaxed SiPIr crystal, as listed in the Alexandria database.

a = 3.518 Å, b = 6.912 Å, c = 7.540 Å
α = 90.00°, β = 90.00°, γ = 90.00°
Positions (direct):
1 P 0.250 0.900 0.355
2 P 0.750 0.600 0.855
3 P 0.750 0.100 0.645
4 P 0.250 0.400 0.145
5 Si 0.250 0.026 0.867
6 Si 0.750 0.474 0.367
7 Si 0.750 0.974 0.133
8 Si 0.250 0.526 0.633
9 Ir 0.250 0.249 0.442
10 Ir 0.750 0.251 0.942
11 Ir 0.750 0.751 0.558
12 Ir 0.250 0.749 0.058

=====

# 3
First-principles (GGA-PBE) data for a relaxed SiP2Ir crystal, as listed in the Alexandria database.

Calculated values
ΔE to the lowest computed polymorph ... 279 meV per atom

a = 6.037 Å, b = 6.037 Å, c = 6.037 Å
α = 144.38°, β = 147.40°, γ = 49.05°
Positions (direct):
1 Ir 0.250 0.750 0.500
2 P 0.096 0.096 0.000
3 P 0.404 0.404 0.000
4 Si 0.750 0.250 0.500

=====

Looking at size of the total moment for the records above, in order, we have 0.000, 0.000, 0.000 μB/cell.
Looking at energy relative to the elements, uncorrected for the records above, in order, we have 0.76, -0.21, 0.04 eV/atom.